No. 1
The following is a DFT calculation (PBE) of a relaxed NaSr3Br crystal.

Computed properties:
The value obtained for the raw formation energy is -36 kJ/mol of atoms. For the calculated total energy, the calculation gives -1.98 eV/atom. As for the relative energy among the computed polymorphs: 0.0 kJ per mole of atoms. The value obtained for the size of the total moment is 0.327 μB/f.u.

POSCAR file:
```
NaSr3Br
1.0
6.263 0.000 0.000
0.000 6.263 0.000
0.000 0.000 6.263
Na Sr Br
1 3 1
Direct
0.000 0.000 0.000
0.000 0.500 0.500
0.500 0.000 0.500
0.500 0.500 0.000
0.500 0.500 0.500
```

No. 2
The following is a DFT calculation (PBE) of a relaxed Zn2CdTc crystal.

Computed properties:
For the calculated total energy, the calculation gives -3.24 eV/atom. The value obtained for the size of the total moment is 0.000 μB/f.u.

POSCAR file:
```
Zn2CdTc
1.0
-1.462 2.290 4.733
1.462 -2.290 4.733
1.462 2.290 -4.733
Zn Cd Tc
2 1 1
Direct
0.000 0.000 0.000
0.760 0.260 0.500
0.259 0.759 0.500
0.525 0.525 0.000
```

- size of the total moment of number 1 (NaSr3Br)?
  0.327 μB/f.u.

- Which of these has the lowest calculated total energy?
  Zn2CdTc

- Which of these has the highest calculated total energy?
  NaSr3Br